Record 1
A plane-wave DFT calculation with PBE-GGA was carried out for crystalline Pm7Dy2Tm2 at its relaxed geometry.

a = 8.7199 Å, b = 6.5888 Å, c = 6.5888 Å
α = 92.21°, β = 82.75°, γ = 82.75°
With the nearest neighbours (Å) after each atom.
Fractional coordinates of all 11 atoms:
1 Pm 0.2078 0.0835 0.4551  3 Dy 3.42-3.53, 2 Tm 3.47-3.59, 4 Pm 3.53-3.75
2 Pm 0.7922 0.5449 0.9165  3 Dy 3.42-3.53, 2 Tm 3.47-3.59, 4 Pm 3.53-3.75
3 Pm 0.7922 0.9165 0.5449  3 Dy 3.42-3.53, 2 Tm 3.47-3.59, 4 Pm 3.53-3.75
4 Pm 0.2078 0.4551 0.0835  3 Dy 3.42-3.53, 2 Tm 3.47-3.59, 4 Pm 3.53-3.75
5 Pm 0.0000 0.0000 0.0000  2 Dy 3.57, 10 Pm 3.64-3.90
6 Pm 0.4150 0.8445 0.8445  6 Pm 3.44-3.71, 1 Dy 3.48, 4 Tm 3.52-3.53
7 Pm 0.5850 0.1555 0.1555  6 Pm 3.44-3.71, 1 Dy 3.48, 4 Tm 3.52-3.53
8 Dy 0.8568 0.3914 0.3914  8 Pm 3.42-3.57, 1 Dy 3.46, 2 Tm 3.51
9 Dy 0.1432 0.6086 0.6086  8 Pm 3.42-3.57, 1 Dy 3.46, 2 Tm 3.51
10 Tm 0.5000 0.3252 0.6748  1 Tm 3.32, 8 Pm 3.47-3.59, 2 Dy 3.51
11 Tm 0.5000 0.6748 0.3252  1 Tm 3.32, 8 Pm 3.47-3.59, 2 Dy 3.51

The calculation puts the density of states at the Fermi level at 16.3 states/eV/f.u. As for the volume: 372.0 Å³ per cell. The electronic total energy comes out at -50.3 eV/cell. For the energy above the most stable polymorph in this dataset, the calculation gives 0.0 meV/atom. The formation energy is 0.0991 eV/atom.



Record 2
A plane-wave DFT calculation with PBE-GGA was carried out for crystalline PmDyTm2 at its relaxed geometry.

a = 3.5452 Å, b = 3.5452 Å, c = 10.0008 Å
α = 90.00°, β = 90.00°, γ = 90.00°
With the nearest neighbours (Å) after each atom.
Fractional coordinates of all 4 atoms:
1 Tm 0.0000 0.0000 0.7466  4 Dy 3.52, 4 Tm 3.55, 4 Pm 3.56
2 Tm 0.0000 0.0000 0.2534  4 Dy 3.52, 4 Tm 3.55, 4 Pm 3.56
3 Pm 0.5000 0.5000 0.0000  4 Pm 3.55, 8 Tm 3.56
4 Dy 0.5000 0.5000 0.5000  8 Tm 3.52, 4 Dy 3.55

The calculation puts the density of states at the Fermi level at 5.7 states/eV/f.u. As for the volume: 125.7 Å³ per cell. The electronic total energy comes out at -18.2 eV/cell. For the energy above the most stable polymorph in this dataset, the calculation gives 8.2 meV/atom. The formation energy is 0.0250 eV/atom.



Which value of electronic total energy does entry 2 give?
-18.2 eV/cell